# MoOF2

A geometry-optimized MoOF2 structure (PBE+U, Alexandria).

Space-group type = Fm-3m (225)
Total DFT energy (no corrections) = -4.6791 eV per atom
N(E_F) = 3.321 states/eV/cell
Magnetization = 2.0 μB/cell

Structure (POSCAR):
```
MoOF2
1.0
0.753 -3.698 0.843
-1.973 -2.823 -1.756
1.757 -2.257 -2.602
Mo O F
1 1 2
direct
0.500 0.500 0.500
0.000 0.000 0.000
0.250 0.250 0.250
0.750 0.750 0.750
```